Compound: FeB2Pb2O6
Source: Alexandria via LeMat-Bulk
Functional: PBE+U
Structure: optimized geometry

Structure (extended XYZ):
```
11
Lattice="4.6150 -2.6719 0.0000 4.6150 2.6719 0.0000 -2.7907 0.0000 5.6754" Properties=species:S:1:pos:R:3 pbc="T T T"
Fe 0.0000 0.0000 0.0000
B 3.5178 0.0000 1.2444
B 2.9214 0.0000 4.4310
Pb -0.0286 0.0000 3.9478
Pb 6.4678 0.0000 1.7276
O 2.2205 1.1911 4.2211
O 2.2110 0.0000 0.7975
O 4.2187 1.1911 1.4543
O 2.2205 -1.1911 4.2211
O 4.2283 0.0000 4.8779
O 4.2187 -1.1911 1.4543
```

Results
Electronic total energy: -75.805 eV/cell
Spin magnetization: 4.01 μB per formula unit